NiMo2WF | PBE+U | relaxed

Space group ... No. 123
Final energy ... -3.536 eV per atom
Total moment ... 0.0 Bohr magnetons per cell

The structure in extended XYZ format:
```
5
Lattice="-2.082 1.046 3.446 1.684 -3.311 2.022 3.198 2.367 1.213" Properties=species:S:1:pos:R:3 pbc="T T T"
F 0.000 0.000 0.000
Ni 1.400 0.051 3.341
W 0.842 -1.655 1.011
Mo 1.599 1.184 0.607
Mo -1.041 0.523 1.723
```